# 1
Entry from Alexandria: a geometry-optimized NbIn2Pt2 structure (PBE).

Computed properties:
Calculated volume, A^3/atom: 19.418
Energy of formation from the pure elements, eV per atom: -0.206
Symmetry: P4/mbm (127)

Unit cell a=7.0067 b=7.0067 c=3.9552 alpha=90.00 beta=90.00 gamma=90.00
Last column: nearest neighbours and their distance in Å.
Sites, in units of the cell vectors:
1 In 0.1698 0.6698 0.5000  6 Pt 2.76-2.93
2 In 0.8302 0.3302 0.5000  6 Pt 2.76-2.93
3 Pt 0.1360 0.3640 0.0000  1 Pt 2.70, 2 Nb 2.72, 6 In 2.76-2.93
4 Pt 0.6360 0.1360 0.0000  1 Pt 2.70, 2 Nb 2.72, 6 In 2.76-2.93
5 Nb 0.5000 0.5000 0.0000  4 Pt 2.72
6 Pt 0.8640 0.6360 0.0000  1 Pt 2.70, 2 Nb 2.72, 6 In 2.76-2.93
7 Pt 0.3640 0.8640 0.0000  1 Pt 2.70, 2 Nb 2.72, 6 In 2.76-2.93
8 In 0.6698 0.8302 0.5000  6 Pt 2.76-2.93
9 Nb 0.0000 0.0000 0.0000  4 Pt 2.72
10 In 0.3302 0.1698 0.5000  6 Pt 2.76-2.93



# 2
Entry from Alexandria: a geometry-optimized NdP4Pd6 structure (PBE).

Computed properties:
Calculated volume, A^3/atom: 17.190
Energy of formation from the pure elements, eV per atom: -0.600
Symmetry: I-42m (121)

Unit cell a=6.3629 b=6.3629 c=6.3629 alpha=94.90 beta=117.21 gamma=117.21
Last column: nearest neighbours and their distance in Å.
Sites, in units of the cell vectors:
1 Pd 0.7010 0.2108 0.2108  4 P 2.33-2.45
2 P 0.0000 0.1517 0.5808  4 Pd 2.33-2.45
3 Nd 0.0000 0.0000 0.0000  4 P 2.91
4 Pd 0.5000 0.5000 0.0000  4 P 2.63, 4 Pd 2.80
5 P 0.0000 0.5808 0.1517  4 Pd 2.33-2.45
6 P 0.4291 0.8483 0.8483  4 Pd 2.33-2.45
7 Pd 0.2990 0.5098 0.5098  4 P 2.33-2.45
8 Pd 0.0000 0.4902 0.7892  4 P 2.33-2.45
9 Pd 0.5000 0.0000 0.5000  4 P 2.63, 4 Pd 2.80
10 P 0.5709 0.4192 0.4192  4 Pd 2.33-2.45
11 Pd 0.0000 0.7892 0.4902  4 P 2.33-2.45



# 3
Entry from Alexandria: a geometry-optimized Tb3ScTl4 structure (PBE).

Computed properties:
Calculated volume, A^3/atom: 27.570
Excess energy over the best structure of this formula in the dataset, meV per atom: 120
Energy of formation from the pure elements, eV per atom: -0.214
Symmetry: Pmn2_1 (31)

Unit cell a=6.5006 b=6.4751 c=10.4800 alpha=90.00 beta=90.00 gamma=90.00
Last column: nearest neighbours and their distance in Å.
Sites, in units of the cell vectors:
1 Sc 0.3846 0.5528 0.5000  4 Tl 3.07-3.38, 2 Tb 3.30-3.40
2 Tl 0.5613 0.7601 0.7391  1 Sc 3.07, 5 Tb 3.22-3.27, 1 Tl 3.26
3 Tb 0.5644 0.2635 0.2452  6 Tl 3.22-3.37, 2 Sc 3.47-3.51, 2 Tb 3.54-3.60
4 Sc 0.8846 0.4472 0.0000  4 Tl 3.07-3.38, 2 Tb 3.30-3.40
5 Tl 0.3673 0.4951 0.0000  2 Sc 3.15-3.38, 2 Tb 3.24, 4 Tl 3.26-3.47
6 Tb 0.2516 0.0610 0.5000  4 Tl 3.21-3.32, 2 Sc 3.30-3.40, 2 Tb 3.54
7 Tb 0.5644 0.2635 0.7548  6 Tl 3.22-3.37, 2 Sc 3.47-3.51, 2 Tb 3.54-3.60
8 Tl 0.2604 0.9865 0.0000  4 Tb 3.21-3.37, 4 Tl 3.26-3.37
9 Tb 0.0644 0.7365 0.7452  6 Tl 3.22-3.37, 2 Sc 3.47-3.51, 2 Tb 3.54-3.60
10 Tb 0.0644 0.7365 0.2548  6 Tl 3.22-3.37, 2 Sc 3.47-3.51, 2 Tb 3.54-3.60
11 Tb 0.7516 0.9390 0.0000  4 Tl 3.21-3.32, 2 Sc 3.30-3.40, 2 Tb 3.54
12 Tl 0.0613 0.2399 0.2391  1 Sc 3.07, 5 Tb 3.22-3.27, 1 Tl 3.26
13 Tl 0.7604 0.0135 0.5000  4 Tb 3.21-3.37, 4 Tl 3.26-3.37
14 Tl 0.0613 0.2399 0.7609  1 Sc 3.07, 5 Tb 3.22-3.27, 1 Tl 3.26
15 Tl 0.5613 0.7601 0.2609  1 Sc 3.07, 5 Tb 3.22-3.27, 1 Tl 3.26
16 Tl 0.8673 0.5049 0.5000  2 Sc 3.15-3.38, 2 Tb 3.24, 4 Tl 3.26-3.47